Entry 1:
Below is an optimized crystal structure of Nb2HIrPt, with properties calculated at the PBE level.

The structure belongs to space group P4/mmm (No. 123); the cell edges are 4.0686, 4.0686 and 4.0544 Å and the angles 90.00°, 90.00° and 90.00°. The asymmetric unit holds Nb at (0.0000, 0.5000, 0.0000), H at (0.0000, 0.0000, 0.0000), Ir at (0.0000, 0.0000, 0.5000) and Pt at (0.5000, 0.5000, 0.5000).

As for the crystal system: tetragonal. The value obtained for the electronic total energy is -8.14 eV per atom.

---

Entry 2:
Below is an optimized crystal structure of YMoPb2, with properties calculated at the PBE level.

The structure belongs to space group I4/mmm (No. 139); the cell edges are 4.8053, 4.8053 and 8.1595 Å and the angles 90.00°, 90.00° and 90.00°. The asymmetric unit holds Y at (0.0000, 0.0000, 0.0000), Mo at (0.0000, 0.0000, 0.5000) and Pb at (0.0000, 0.5000, 0.2500).

As for the crystal system: tetragonal. The formation energy comes out at 232 meV/atom. The value obtained for the electronic total energy is -5.95 eV per atom.

---

Entry 3:
Below is an optimized crystal structure of NaAs2S4, with properties calculated at the PBE level.

The structure belongs to space group Cmcm (No. 63); the cell edges are 3.6387, 12.1673 and 12.8458 Å and the angles 90.00°, 90.00° and 90.00°. The asymmetric unit holds Na at (0.0000, 0.1016, 0.2500), As at (0.0000, 0.3622, 0.0733), S at (0.0000, 0.0000, 0.0000), S at (0.0000, 0.2706, 0.6102) and S at (0.0000, 0.4310, 0.2500).

As for the crystal system: orthorhombic. The value obtained for the energy relative to the elements, uncorrected is -0.2185 eV per atom. The value obtained for the electronic total energy is -4.09 eV per atom.